(1)
Entry from the Alexandria database: a relaxed ScGeAu2 crystal (PBE).

Output
Space-group type: P4/mmm (123)
E (eV per cell): -19.440
V (Å³ per cell): 76.1
ΔH_f (0 K) (eV/atom): -0.484

Cell lengths 3.6046, 3.6046, 5.8594 Å; angles 90.00, 90.00, 90.00 degrees
Atoms (fractional coordinates):
Sc: 0.5000 0.5000 0.0000
Au: 0.0000 0.0000 0.7565
Au: 0.0000 0.0000 0.2435
Ge: 0.5000 0.5000 0.5000

=====

(2)
Entry from the Alexandria database: a relaxed Er2MgCdAu4 crystal (PBE).

Output
Space-group type: R-3m (166)
E (eV per cell): -30.639
V (Å³ per cell): 165.6
ΔH_f (0 K) (eV/atom): -0.737

Cell lengths 4.9057, 4.9057, 8.4336 Å; angles 73.09, 73.09, 60.00 degrees
Atoms (fractional coordinates):
Au: 0.1286 0.1286 0.6143
Au: 0.3799 0.3799 0.8603
Au: 0.6201 0.6201 0.1397
Au: 0.8714 0.8714 0.3857
Mg: 0.5000 0.5000 0.5000
Cd: 0.0000 0.0000 0.0000
Er: 0.2527 0.2527 0.2418
Er: 0.7473 0.7473 0.7582

=====

(3)
Entry from the Alexandria database: a relaxed SrHf2Co crystal (PBE).

Output
ΔE to the lowest computed polymorph (eV/f.u.): 0.000
Space-group type: Fm-3m (225)
E (eV per cell): -25.743
V (Å³ per cell): 81.8
ΔH_f (0 K) (eV/atom): 0.738

Cell lengths 4.8723, 4.8723, 4.8723 Å; angles 60.00, 60.00, 60.00 degrees
Atoms (fractional coordinates):
Co: 0.0000 0.0000 0.0000
Hf: 0.2500 0.2500 0.2500
Hf: 0.7500 0.7500 0.7500
Sr: 0.5000 0.5000 0.5000